(1)
Crystalline Rb2TbF6 at its relaxed geometry. Source: OQMD, functional GGA-PBE. Values from VASP.

Structure (Quantum ESPRESSO input):
```
&SYSTEM
  ibrav = 0, nat = 18, ntyp = 3
/
ATOMIC_SPECIES
Rb 85.47 Rb.upf
Tb 158.93 Tb.upf
F 19.00 F.upf
ATOMIC_POSITIONS crystal
Rb 0.133 0.817 0.000
Rb 0.183 0.867 0.500
Rb 0.817 0.133 0.500
Rb 0.867 0.183 0.000
Tb 0.456 0.544 0.750
Tb 0.544 0.456 0.250
F 0.102 0.502 0.722
F 0.177 0.202 0.279
F 0.202 0.177 0.779
F 0.355 0.566 0.049
F 0.434 0.645 0.451
F 0.498 0.898 0.778
F 0.502 0.102 0.222
F 0.566 0.355 0.549
F 0.645 0.434 0.951
F 0.798 0.823 0.221
F 0.823 0.798 0.721
F 0.898 0.498 0.278
CELL_PARAMETERS angstrom
3.390 -5.801 0.000
3.390 5.801 0.000
-0.235 0.000 7.181
```

Computed properties:
- Total magnetization: 1.0 μB per formula unit
- Electronic total energy: -5.01 eV/atom

(2)
Crystalline RbTcF6 at its relaxed geometry. Source: OQMD, functional GGA-PBE. Values from VASP.

Structure (Quantum ESPRESSO input):
```
&SYSTEM
  ibrav = 0, nat = 8, ntyp = 3
/
ATOMIC_SPECIES
Rb 85.47 Rb.upf
Tc 98.00 Tc.upf
F 19.00 F.upf
ATOMIC_POSITIONS crystal
Rb 0.000 0.000 0.000
Tc 0.500 0.500 0.500
F 0.084 0.594 0.594
F 0.406 0.406 0.916
F 0.406 0.916 0.406
F 0.594 0.084 0.594
F 0.594 0.594 0.084
F 0.916 0.406 0.406
CELL_PARAMETERS angstrom
2.611 1.507 4.823
-2.611 1.507 4.823
0.000 -3.015 4.823
```

Computed properties:
- Total magnetization: 2.0 μB per formula unit
- Electronic total energy: -5.08 eV/atom

(3)
Crystalline RbTh3F13 at its relaxed geometry. Source: OQMD, functional GGA-PBE. Values from VASP.

Structure (Quantum ESPRESSO input):
```
&SYSTEM
  ibrav = 0, nat = 34, ntyp = 3
/
ATOMIC_SPECIES
Rb 85.47 Rb.upf
Th 232.04 Th.upf
F 19.00 F.upf
ATOMIC_POSITIONS crystal
Rb 0.000 0.105 0.000
Rb 0.000 0.895 0.500
Th 0.245 0.397 0.359
Th 0.245 0.603 0.859
Th 0.500 0.109 0.695
Th 0.500 0.891 0.195
Th 0.755 0.397 0.359
Th 0.755 0.603 0.859
F 0.000 0.222 0.326
F 0.000 0.429 0.839
F 0.000 0.571 0.339
F 0.000 0.778 0.826
F 0.189 0.449 0.096
F 0.189 0.551 0.596
F 0.238 0.176 0.554
F 0.238 0.824 0.054
F 0.298 0.112 0.235
F 0.298 0.888 0.735
F 0.324 0.300 0.837
F 0.324 0.700 0.337
F 0.500 0.030 0.958
F 0.500 0.367 0.516
F 0.500 0.398 0.229
F 0.500 0.602 0.729
F 0.500 0.633 0.016
F 0.500 0.970 0.458
F 0.676 0.300 0.837
F 0.676 0.700 0.337
F 0.702 0.112 0.235
F 0.702 0.888 0.735
F 0.762 0.176 0.554
F 0.762 0.824 0.054
F 0.811 0.449 0.096
F 0.811 0.551 0.596
CELL_PARAMETERS angstrom
8.038 0.000 0.000
0.000 7.313 0.000
0.000 0.000 8.539
```

Computed properties:
- Total magnetization: 0.0 μB per formula unit
- Electronic total energy: -6.80 eV/atom

(4)
Crystalline RbTh3F13 at its relaxed geometry. Source: OQMD, functional GGA-PBE. Values from VASP.

Structure (Quantum ESPRESSO input):
```
&SYSTEM
  ibrav = 0, nat = 34, ntyp = 3
/
ATOMIC_SPECIES
Rb 85.47 Rb.upf
Th 232.04 Th.upf
F 19.00 F.upf
ATOMIC_POSITIONS crystal
Rb 0.000 0.104 0.000
Rb 0.000 0.896 0.500
Th 0.245 0.397 0.639
Th 0.245 0.603 0.139
Th 0.500 0.110 0.303
Th 0.500 0.890 0.803
Th 0.755 0.397 0.639
Th 0.755 0.603 0.139
F 0.000 0.222 0.674
F 0.000 0.429 0.160
F 0.000 0.571 0.660
F 0.000 0.778 0.174
F 0.189 0.449 0.903
F 0.189 0.551 0.403
F 0.237 0.176 0.443
F 0.237 0.824 0.943
F 0.300 0.113 0.763
F 0.300 0.887 0.263
F 0.323 0.299 0.161
F 0.323 0.701 0.661
F 0.500 0.031 0.039
F 0.500 0.366 0.484
F 0.500 0.402 0.770
F 0.500 0.598 0.270
F 0.500 0.634 0.984
F 0.500 0.969 0.539
F 0.677 0.299 0.161
F 0.677 0.701 0.661
F 0.700 0.113 0.763
F 0.700 0.887 0.263
F 0.763 0.176 0.443
F 0.763 0.824 0.943
F 0.811 0.449 0.903
F 0.811 0.551 0.403
CELL_PARAMETERS angstrom
8.037 0.000 0.000
0.000 7.315 0.000
0.000 0.000 8.540
```

Computed properties:
- Total magnetization: 0.0 μB per formula unit
- Electronic total energy: -6.80 eV/atom

(5)
Crystalline RbTmF3 at its relaxed geometry. Source: OQMD, functional GGA-PBE. Values from VASP.

Structure (Quantum ESPRESSO input):
```
&SYSTEM
  ibrav = 0, nat = 5, ntyp = 3
/
ATOMIC_SPECIES
Rb 85.47 Rb.upf
Tm 168.93 Tm.upf
F 19.00 F.upf
ATOMIC_POSITIONS crystal
Rb 0.000 0.000 0.000
Tm 0.500 0.500 0.500
F 0.000 0.500 0.500
F 0.500 0.000 0.500
F 0.500 0.500 0.000
CELL_PARAMETERS angstrom
3.099 -3.137 0.000
3.099 3.137 0.000
0.000 0.000 4.407
```

Computed properties:
- Total magnetization: 0.3 μB per formula unit
- Electronic total energy: -5.21 eV/atom

(6)
Crystalline RbTmZrF7 at its relaxed geometry. Source: OQMD, functional GGA-PBE. Values from VASP.

Structure (Quantum ESPRESSO input):
```
&SYSTEM
  ibrav = 0, nat = 20, ntyp = 4
/
ATOMIC_SPECIES
Rb 85.47 Rb.upf
Tm 168.93 Tm.upf
Zr 91.22 Zr.upf
F 19.00 F.upf
ATOMIC_POSITIONS crystal
Rb 0.000 0.000 0.000
Rb 0.000 0.000 0.500
Tm 0.302 0.698 0.750
Tm 0.698 0.302 0.250
Zr 0.306 0.694 0.250
Zr 0.694 0.306 0.750
F 0.045 0.328 0.750
F 0.050 0.323 0.250
F 0.291 0.709 0.502
F 0.291 0.709 0.998
F 0.323 0.050 0.750
F 0.328 0.045 0.250
F 0.499 0.501 0.250
F 0.501 0.499 0.750
F 0.672 0.955 0.750
F 0.677 0.950 0.250
F 0.709 0.291 0.002
F 0.709 0.291 0.498
F 0.950 0.677 0.750
F 0.955 0.672 0.250
CELL_PARAMETERS angstrom
3.367 -5.375 0.000
3.367 5.375 0.000
0.000 0.000 8.432
```

Computed properties:
- Total magnetization: 1.0 μB per formula unit
- Electronic total energy: -6.26 eV/atom

(7)
Crystalline RbU2F8 at its relaxed geometry. Source: OQMD, functional GGA-PBE. Values from VASP.

Structure (Quantum ESPRESSO input):
```
&SYSTEM
  ibrav = 0, nat = 11, ntyp = 3
/
ATOMIC_SPECIES
Rb 85.47 Rb.upf
U 238.03 U.upf
F 19.00 F.upf
ATOMIC_POSITIONS crystal
Rb 0.000 0.000 0.000
U 0.323 0.677 0.500
U 0.677 0.323 0.500
F 0.050 0.330 0.569
F 0.259 0.741 0.000
F 0.330 0.050 0.569
F 0.394 0.394 0.213
F 0.606 0.606 0.787
F 0.670 0.950 0.431
F 0.741 0.259 0.000
F 0.950 0.670 0.431
CELL_PARAMETERS angstrom
3.543 -5.383 0.000
3.543 5.383 0.000
-0.805 0.000 4.304
```

Computed properties:
- Total magnetization: 5.0 μB per formula unit
- Electronic total energy: -6.93 eV/atom

(8)
Crystalline RbZn2F5 at its relaxed geometry. Source: OQMD, functional GGA-PBE. Values from VASP.

Structure (Quantum ESPRESSO input):
```
&SYSTEM
  ibrav = 0, nat = 8, ntyp = 3
/
ATOMIC_SPECIES
Rb 85.47 Rb.upf
Zn 65.41 Zn.upf
F 19.00 F.upf
ATOMIC_POSITIONS crystal
Rb 0.000 0.000 0.000
Zn 0.390 0.298 0.645
Zn 0.712 0.614 0.359
F 0.166 0.554 0.384
F 0.319 0.350 0.950
F 0.470 0.844 0.619
F 0.652 0.675 0.054
F 0.827 0.189 0.512
CELL_PARAMETERS angstrom
4.616 0.000 0.000
2.250 4.066 0.000
0.195 0.187 5.901
```

Computed properties:
- Electronic total energy: -3.84 eV/atom

(9)
Crystalline RbZnF3 at its relaxed geometry. Source: OQMD, functional GGA-PBE. Values from VASP.

Structure (Quantum ESPRESSO input):
```
&SYSTEM
  ibrav = 0, nat = 30, ntyp = 3
/
ATOMIC_SPECIES
Rb 85.47 Rb.upf
Zn 65.41 Zn.upf
F 19.00 F.upf
ATOMIC_POSITIONS crystal
Rb 0.000 0.000 0.250
Rb 0.000 0.000 0.750
Rb 0.333 0.667 0.095
Rb 0.333 0.667 0.405
Rb 0.667 0.333 0.595
Rb 0.667 0.333 0.905
Zn 0.000 0.000 0.000
Zn 0.000 0.000 0.500
Zn 0.333 0.667 0.655
Zn 0.333 0.667 0.845
Zn 0.667 0.333 0.155
Zn 0.667 0.333 0.345
F 0.023 0.511 0.750
F 0.166 0.332 0.580
F 0.166 0.332 0.920
F 0.166 0.834 0.580
F 0.166 0.834 0.920
F 0.332 0.166 0.080
F 0.332 0.166 0.420
F 0.489 0.511 0.750
F 0.489 0.977 0.750
F 0.511 0.023 0.250
F 0.511 0.489 0.250
F 0.668 0.834 0.580
F 0.668 0.834 0.920
F 0.834 0.166 0.080
F 0.834 0.166 0.420
F 0.834 0.668 0.080
F 0.834 0.668 0.420
F 0.977 0.489 0.250
CELL_PARAMETERS angstrom
5.828 0.000 0.000
-2.914 5.047 0.000
0.000 0.000 14.306
```

Computed properties:
- Electronic total energy: -4.09 eV/atom

(10)
Crystalline RbZn2F5 at its relaxed geometry. Source: OQMD, functional GGA-PBE. Values from VASP.

Structure (Quantum ESPRESSO input):
```
&SYSTEM
  ibrav = 0, nat = 32, ntyp = 3
/
ATOMIC_SPECIES
Rb 85.47 Rb.upf
Zn 65.41 Zn.upf
F 19.00 F.upf
ATOMIC_POSITIONS crystal
Rb 0.116 0.043 0.383
Rb 0.116 0.457 0.883
Rb 0.884 0.543 0.117
Rb 0.884 0.957 0.617
Zn 0.000 0.000 0.000
Zn 0.000 0.500 0.500
Zn 0.489 0.243 0.275
Zn 0.489 0.257 0.775
Zn 0.500 0.000 0.000
Zn 0.500 0.500 0.500
Zn 0.511 0.743 0.225
Zn 0.511 0.757 0.725
F 0.161 0.223 0.141
F 0.161 0.277 0.641
F 0.184 0.045 0.909
F 0.184 0.455 0.409
F 0.210 0.678 0.668
F 0.210 0.822 0.168
F 0.420 0.512 0.272
F 0.420 0.988 0.772
F 0.467 0.716 0.017
F 0.467 0.784 0.517
F 0.533 0.216 0.483
F 0.533 0.284 0.983
F 0.580 0.012 0.228
F 0.580 0.488 0.728
F 0.790 0.178 0.832
F 0.790 0.322 0.332
F 0.816 0.545 0.591
F 0.816 0.955 0.091
F 0.839 0.723 0.359
F 0.839 0.777 0.859
CELL_PARAMETERS angstrom
7.026 0.000 0.000
0.000 7.258 0.000
-5.441 0.000 8.709
```

Computed properties:
- Electronic total energy: -4.01 eV/atom

(11)
Crystalline Rb2ZnF4 at its relaxed geometry. Source: OQMD, functional GGA-PBE. Values from VASP.

Structure (Quantum ESPRESSO input):
```
&SYSTEM
  ibrav = 0, nat = 7, ntyp = 3
/
ATOMIC_SPECIES
Rb 85.47 Rb.upf
Zn 65.41 Zn.upf
F 19.00 F.upf
ATOMIC_POSITIONS crystal
Rb 0.148 0.148 0.000
Rb 0.852 0.852 0.000
Zn 0.500 0.500 0.000
F 0.000 0.500 0.500
F 0.348 0.348 0.000
F 0.500 0.000 0.500
F 0.652 0.652 0.000
CELL_PARAMETERS angstrom
-2.038 2.038 6.741
2.038 -2.038 6.741
2.038 2.038 -6.741
```

Computed properties:
- Electronic total energy: -4.10 eV/atom

(12)
Crystalline ReF2 at its relaxed geometry. Source: OQMD, functional GGA-PBE. Values from VASP.

Structure (Quantum ESPRESSO input):
```
&SYSTEM
  ibrav = 0, nat = 6, ntyp = 2
/
ATOMIC_SPECIES
Re 186.21 Re.upf
F 19.00 F.upf
ATOMIC_POSITIONS crystal
Re 0.125 0.125 0.125
Re 0.875 0.875 0.875
F 0.000 0.500 0.500
F 0.500 0.000 0.500
F 0.500 0.500 0.000
F 0.500 0.500 0.500
CELL_PARAMETERS angstrom
0.000 3.106 3.106
3.106 0.000 3.106
3.106 3.106 0.000
```

Computed properties:
- Total magnetization: 0.3 μB per formula unit
- Electronic total energy: -5.10 eV/atom

(13)
Crystalline ReF7 at its relaxed geometry. Source: OQMD, functional GGA-PBE. Values from VASP.

Structure (Quantum ESPRESSO input):
```
&SYSTEM
  ibrav = 0, nat = 16, ntyp = 2
/
ATOMIC_SPECIES
Re 186.21 Re.upf
F 19.00 F.upf
ATOMIC_POSITIONS crystal
Re 0.000 0.000 0.000
Re 0.500 0.500 0.500
F 0.000 0.342 0.342
F 0.101 0.298 0.917
F 0.103 0.824 0.632
F 0.200 0.888 0.118
F 0.300 0.388 0.618
F 0.397 0.324 0.132
F 0.399 0.798 0.417
F 0.500 0.842 0.842
F 0.601 0.417 0.798
F 0.603 0.132 0.324
F 0.700 0.618 0.388
F 0.800 0.118 0.888
F 0.897 0.632 0.824
F 0.899 0.917 0.298
CELL_PARAMETERS angstrom
7.827 0.000 0.000
0.000 4.201 2.735
0.000 -4.201 2.735
```

Computed properties:
- Total magnetization: 0.0 μB per formula unit
- Electronic total energy: -5.09 eV/atom

(14)
Crystalline ReF2 at its relaxed geometry. Source: OQMD, functional GGA-PBE. Values from VASP.

Structure (Quantum ESPRESSO input):
```
&SYSTEM
  ibrav = 0, nat = 6, ntyp = 2
/
ATOMIC_SPECIES
Re 186.21 Re.upf
F 19.00 F.upf
ATOMIC_POSITIONS crystal
Re 0.000 0.000 0.000
Re 0.500 0.500 0.500
F 0.183 0.183 0.500
F 0.317 0.683 0.000
F 0.683 0.317 0.000
F 0.817 0.817 0.500
CELL_PARAMETERS angstrom
4.637 0.000 0.000
0.000 4.637 0.000
0.000 0.000 3.534
```

Computed properties:
- Total magnetization: 1.0 μB per formula unit
- Electronic total energy: -5.67 eV/atom

(15)
Crystalline Re5F at its relaxed geometry. Source: OQMD, functional GGA-PBE. Values from VASP.

Structure (Quantum ESPRESSO input):
```
&SYSTEM
  ibrav = 0, nat = 6, ntyp = 2
/
ATOMIC_SPECIES
Re 186.21 Re.upf
F 19.00 F.upf
ATOMIC_POSITIONS crystal
Re 0.000 0.500 0.000
Re 0.333 0.667 0.500
Re 0.500 0.000 0.000
Re 0.500 0.500 0.000
Re 0.667 0.333 0.500
F 0.000 0.000 0.500
CELL_PARAMETERS angstrom
4.974 0.000 0.000
-2.487 4.307 0.000
0.000 0.000 4.642
```

Computed properties:
- Total magnetization: 0.0 μB per formula unit
- Electronic total energy: -9.98 eV/atom

(16)
Crystalline ReF2 at its relaxed geometry. Source: OQMD, functional GGA-PBE. Values from VASP.

Structure (Quantum ESPRESSO input):
```
&SYSTEM
  ibrav = 0, nat = 3, ntyp = 2
/
ATOMIC_SPECIES
Re 186.21 Re.upf
F 19.00 F.upf
ATOMIC_POSITIONS crystal
Re 0.000 0.000 0.000
F 0.250 0.250 0.250
F 0.750 0.750 0.750
CELL_PARAMETERS angstrom
0.000 2.776 2.776
2.776 0.000 2.776
2.776 2.776 0.000
```

Computed properties:
- Total magnetization: 5.0 μB per formula unit
- Electronic total energy: -5.48 eV/atom

(17)
Crystalline Re3SbF at its relaxed geometry. Source: OQMD, functional GGA-PBE. Values from VASP.

Structure (Quantum ESPRESSO input):
```
&SYSTEM
  ibrav = 0, nat = 5, ntyp = 3
/
ATOMIC_SPECIES
Re 186.21 Re.upf
Sb 121.76 Sb.upf
F 19.00 F.upf
ATOMIC_POSITIONS crystal
Re 0.000 0.000 0.500
Re 0.000 0.500 0.000
Re 0.500 0.000 0.000
Sb 0.500 0.500 0.500
F 0.000 0.000 0.000
CELL_PARAMETERS angstrom
4.280 0.000 0.000
0.000 4.280 0.000
0.000 0.000 4.280
```

Computed properties:
- Total magnetization: 1.9 μB per formula unit
- Electronic total energy: -7.14 eV/atom

(18)
Crystalline Re3Se4F at its relaxed geometry. Source: OQMD, functional GGA-PBE. Values from VASP.

Structure (Quantum ESPRESSO input):
```
&SYSTEM
  ibrav = 0, nat = 16, ntyp = 3
/
ATOMIC_SPECIES
Re 186.21 Re.upf
Se 78.96 Se.upf
F 19.00 F.upf
ATOMIC_POSITIONS crystal
Re 0.107 0.244 0.462
Re 0.163 0.632 0.273
Re 0.228 0.536 0.569
Re 0.772 0.464 0.431
Re 0.837 0.368 0.727
Re 0.893 0.756 0.538
Se 0.045 0.341 0.181
Se 0.168 0.165 0.744
Se 0.293 0.902 0.383
Se 0.483 0.407 0.297
Se 0.517 0.593 0.703
Se 0.707 0.098 0.617
Se 0.832 0.835 0.256
Se 0.955 0.659 0.819
F 0.335 0.771 0.037
F 0.665 0.229 0.963
CELL_PARAMETERS angstrom
6.627 0.000 0.000
0.447 6.648 0.000
3.130 1.900 7.829
```

Computed properties:
- Total magnetization: 0.0 μB per formula unit
- Electronic total energy: -7.33 eV/atom